# 1
An optimized crystal structure of ErLuInCu. Source: Alexandria via LeMat-Bulk, functional PBE.

The structure in POSCAR format:
```
ErLuInCu
1.0
0.0000 3.5920 3.5920
3.5920 0.0000 3.5920
3.5920 3.5920 0.0000
Er Lu In Cu
1 1 1 1
direct
0.0000 0.0000 0.0000
0.5000 0.5000 0.5000
0.2500 0.2500 0.2500
0.7500 0.7500 0.7500
```

## Properties
The total energy comes out at -17.18 eV for the cell shown. The space-group type is F-43m (216). The density comes out at 9.33 g/cm³.


# 2
An optimized crystal structure of NdErInCu. Source: Alexandria via LeMat-Bulk, functional PBE.

The structure in POSCAR format:
```
NdErInCu
1.0
0.0000 3.6981 3.6981
3.6981 0.0000 3.6981
3.6981 3.6981 0.0000
Nd Er In Cu
1 1 1 1
direct
0.0000 0.0000 0.0000
0.5000 0.5000 0.5000
0.2500 0.2500 0.2500
0.7500 0.7500 0.7500
```

## Properties
The total energy comes out at -17.28 eV for the cell shown. The space-group type is F-43m (216). The density comes out at 8.04 g/cm³.


# 3
An optimized crystal structure of Er2InCu12Ni3. Source: Alexandria via LeMat-Bulk, functional PBE.

The structure in POSCAR format:
```
Er2InCu12Ni3
1.0
4.2682 2.4643 4.1072
-4.2682 2.4643 4.1072
0.0000 -4.9285 4.1072
Er In Cu Ni
2 1 12 3
direct
0.2402 0.2402 0.2402
0.7598 0.7598 0.7598
0.5000 0.5000 0.5000
0.0807 0.0807 0.6421
0.0807 0.6421 0.0807
0.2047 0.7047 0.7047
0.2953 0.2953 0.7953
0.2953 0.7953 0.2953
0.3579 0.9193 0.9193
0.6421 0.0807 0.0807
0.7047 0.2047 0.7047
0.7047 0.7047 0.2047
0.7953 0.2953 0.2953
0.9193 0.3579 0.9193
0.9193 0.9193 0.3579
0.0000 0.5000 0.5000
0.5000 0.0000 0.5000
0.5000 0.5000 0.0000
```

## Properties
The total energy comes out at -77.67 eV for the cell shown. The space-group type is R-3m (166). The density comes out at 8.89 g/cm³.


# 4
An optimized crystal structure of ErIn4CuO8. Source: Alexandria via LeMat-Bulk, functional PBE.

The structure in POSCAR format:
```
ErIn4CuO8
1.0
3.2592 1.8817 5.3685
-3.2592 1.8817 5.3685
0.0000 -3.7634 5.3685
Er In Cu O
1 4 1 8
direct
0.0000 0.0000 0.0000
0.4898 0.9986 0.9986
0.6202 0.6202 0.6202
0.9986 0.4898 0.9986
0.9986 0.9986 0.4898
0.3691 0.3691 0.3691
0.2205 0.7534 0.7534
0.2378 0.2378 0.2378
0.2407 0.2407 0.7710
0.2407 0.7710 0.2407
0.7534 0.2205 0.7534
0.7534 0.7534 0.2205
0.7556 0.7556 0.7556
0.7710 0.2407 0.2407
```

## Properties
The total energy comes out at -82.96 eV for the cell shown. The space-group type is R3m (160). The density comes out at 6.88 g/cm³. For the uncorrected formation energy, the calculation gives -1.6917 eV per atom.


# 5
An optimized crystal structure of Er4InCu2Os. Source: Alexandria via LeMat-Bulk, functional PBE.

The structure in POSCAR format:
```
Er4InCu2Os
1.0
2.4763 1.4297 8.1208
-2.4763 1.4297 8.1208
0.0000 -2.8593 8.1208
Er In Cu Os
4 1 2 1
direct
0.1154 0.1154 0.1154
0.3676 0.3676 0.3676
0.6324 0.6324 0.6324
0.8846 0.8846 0.8846
0.5000 0.5000 0.5000
0.2429 0.2429 0.2429
0.7571 0.7571 0.7571
0.0000 0.0000 0.0000
```

## Properties
The total energy comes out at -43.16 eV for the cell shown. The space-group type is R-3m (166). The density comes out at 10.60 g/cm³.


# 6
An optimized crystal structure of PrErInCu. Source: Alexandria via LeMat-Bulk, functional PBE.

The structure in POSCAR format:
```
PrErInCu
1.0
0.0000 3.7128 3.7128
3.7128 0.0000 3.7128
3.7128 3.7128 0.0000
Pr Er In Cu
1 1 1 1
direct
0.0000 0.0000 0.0000
0.5000 0.5000 0.5000
0.7500 0.7500 0.7500
0.2500 0.2500 0.2500
```

## Properties
The total energy comes out at -17.26 eV for the cell shown. The space-group type is F-43m (216). The density comes out at 7.89 g/cm³.


# 7
An optimized crystal structure of ErInCuPt. Source: Alexandria via LeMat-Bulk, functional PBE.

The structure in POSCAR format:
```
ErInCuPt
1.0
0.0000 3.3569 3.3569
3.3569 0.0000 3.3569
3.3569 3.3569 0.0000
Er In Cu Pt
1 1 1 1
direct
0.0000 0.0000 0.0000
0.5000 0.5000 0.5000
0.7500 0.7500 0.7500
0.2500 0.2500 0.2500
```

## Properties
The total energy comes out at -20.05 eV for the cell shown. The space-group type is F-43m (216). The density comes out at 11.87 g/cm³.


# 8
An optimized crystal structure of ErPuInCu. Source: Alexandria via LeMat-Bulk, functional PBE.

The structure in POSCAR format:
```
ErPuInCu
1.0
0.0000 3.6458 3.6458
3.6458 0.0000 3.6458
3.6458 3.6458 0.0000
Er Pu In Cu
1 1 1 1
direct
0.0000 0.0000 0.0000
0.5000 0.5000 0.5000
0.7500 0.7500 0.7500
0.2500 0.2500 0.2500
```

## Properties
The total energy comes out at -26.07 eV for the cell shown. The space-group type is F-43m (216). The density comes out at 10.10 g/cm³.